Computed, not measured: a relaxed structure of Li3Co4NiO8 at the GGA+U level of DFT.

The structure in POSCAR format:
```
Li3Co4NiO8
1.0
5.865 -0.049 -0.090
2.934 5.078 -0.090
2.945 -1.718 4.763
Li Co Ni O
3 4 1 8
Direct
0.000 0.000 0.500
0.500 0.000 0.500
0.500 0.500 0.500
0.000 0.500 0.500
0.000 0.000 0.000
0.500 0.000 0.000
0.000 0.500 0.000
0.500 0.500 0.000
0.460 0.252 0.792
0.997 0.265 0.765
0.500 0.762 0.765
0.012 0.751 0.739
0.988 0.249 0.261
0.500 0.238 0.235
0.003 0.735 0.235
0.540 0.748 0.208
```

Calculated values
Total energy, eV/f.u.: -88.79
Symmetry: C2/m, No. 12